## Na2HoRuO4 (PBE)

Data for an optimized crystal structure of Na2HoRuO4.

CIF file:
```
data_Na2HoRuO4
_cell_length_a 3.321
_cell_length_b 5.412
_cell_length_c 5.856
_cell_angle_alpha 109.13
_cell_angle_beta 90.00
_cell_angle_gamma 90.00
_space_group_name_H-M_alt 'P 1'
_space_group_IT_number 1
_space_group_name_Hall 'P 1'
loop_
_atom_site_label
_atom_site_fract_x
_atom_site_fract_y
_atom_site_fract_z
O1 0.000 0.251 0.780
O2 0.500 0.209 0.202
Na1 0.500 0.000 0.500
O3 0.500 0.791 0.798
Na2 0.000 0.500 0.500
Ru1 0.000 0.000 0.000
O4 0.000 0.749 0.220
Ho1 0.500 0.500 0.000
```

DOS(E_F): 3.5 states/eV/f.u.
Energy relative to the elements, uncorrected: -1.92 eV per atom
Total magnetization: 1.017 μB per cell
Calculated total energy: -51.649 eV/cell